TaNb2GaRe | PBE | relaxed

Values from the calculation:
ΔE_f = 1.1313 eV/atom
Symmetry = P4/mmm
Crystal system = tetragonal
Density of states at the Fermi level = 3.4 states/eV/cell

Lattice parameters (Å, degrees): 4.8603 4.8603 4.8647 90.00 90.00 90.00
With the nearest neighbours (Å) after each atom.
Positions (direct):
Ta1 0.0000 0.0000 0.0000  2 Re 2.43
Nb1 0.0000 0.5000 0.5000  2 Re 2.43
Nb2 0.5000 0.0000 0.5000  2 Re 2.43
Ga1 0.5000 0.5000 0.0000  4 Ta 3.44, 8 Nb 3.44
Re1 0.0000 0.0000 0.5000  4 Nb 2.43, 2 Ta 2.43



TmThCo4 | PBE | relaxed

Values from the calculation:
ΔE_f = -0.2763 eV/atom
Symmetry = Pmmm
Polymorph energy (0 for the lowest one) = 0.000 eV/atom
Crystal system = orthorhombic
Density of states at the Fermi level = 6.4 states/eV/cell

Lattice parameters (Å, degrees): 3.9200 3.9293 6.7629 90.00 90.00 90.00
With the nearest neighbours (Å) after each atom.
Positions (direct):
Tm1 0.0000 0.0000 0.0000  12 Co 2.97-2.99
Th1 0.0000 0.5000 0.5000  12 Co 3.00
Co1 0.5000 0.0000 0.3296  3 Co 2.26-2.31
Co2 0.5000 0.0000 0.6704  3 Co 2.26-2.31
Co3 0.5000 0.5000 0.1648  3 Co 2.23-2.26
Co4 0.5000 0.5000 0.8352  3 Co 2.23-2.26



LaTbDy2Ho2 | PBE | relaxed

Values from the calculation:
ΔE_f = 0.1684 eV/atom
Symmetry = Pnnm
Crystal system = orthorhombic
Density of states at the Fermi level = 18.3 states/eV/cell

Lattice parameters (Å, degrees): 6.9466 16.1211 3.5387 90.00 90.00 90.00
With the nearest neighbours (Å) after each atom.
Positions (direct):
La1 0.0000 0.0000 0.0000  2 Tb 3.47, 2 La 3.54, 4 Ho 3.55, 4 Dy 3.56
La2 0.5000 0.5000 0.5000  2 Tb 3.47, 2 La 3.54, 4 Ho 3.55, 4 Dy 3.56
Tb1 0.0000 0.5000 0.5000  2 La 3.47, 2 Tb 3.54, 4 Ho 3.55, 4 Dy 3.55
Tb2 0.5000 0.0000 0.0000  2 La 3.47, 2 Tb 3.54, 4 Ho 3.55, 4 Dy 3.55
Dy1 0.2489 0.3421 0.0000  4 Ho 3.46-3.48, 2 Dy 3.54, 2 Tb 3.55, 2 La 3.56
Dy2 0.2511 0.8421 0.5000  4 Ho 3.46-3.48, 2 Dy 3.54, 2 Tb 3.55, 2 La 3.56
Dy3 0.7489 0.1579 0.5000  4 Ho 3.46-3.48, 2 Dy 3.54, 2 Tb 3.55, 2 La 3.56
Dy4 0.7511 0.6579 0.0000  4 Ho 3.46-3.48, 2 Dy 3.54, 2 Tb 3.55, 2 La 3.56
Ho1 0.2495 0.6574 0.0000  4 Dy 3.46-3.48, 2 Ho 3.54, 2 Tb 3.55, 2 La 3.55
Ho2 0.2505 0.1574 0.5000  4 Dy 3.46-3.48, 2 Ho 3.54, 2 Tb 3.55, 2 La 3.55
Ho3 0.7495 0.8426 0.5000  4 Dy 3.46-3.48, 2 Ho 3.54, 2 Tb 3.55, 2 La 3.55
Ho4 0.7505 0.3426 0.0000  4 Dy 3.46-3.48, 2 Ho 3.54, 2 Tb 3.55, 2 La 3.55



AlSbP2 | PBE | relaxed

Values from the calculation:
Symmetry = Fm-3m
Polymorph energy (0 for the lowest one) = 0.460 eV/atom
Crystal system = cubic
Density of states at the Fermi level = 2.2 states/eV/cell
Energy relative to the elements, uncorrected = 389.7 meV per atom

Lattice parameters (Å, degrees): 4.6823 4.6823 4.6823 60.00 60.00 60.00
With the nearest neighbours (Å) after each atom.
Positions (direct):
Al1 0.0000 0.0000 0.0000  8 P 2.87
Sb1 0.5000 0.5000 0.5000  8 P 2.87
P1 0.2500 0.2500 0.2500  4 Sb 2.87, 4 Al 2.87
P2 0.7500 0.7500 0.7500  4 Sb 2.87, 4 Al 2.87



TbSmDy3Ho | PBE | relaxed

Values from the calculation:
ΔE_f = 0.0178 eV/atom
Symmetry = Cmcm
Crystal system = orthorhombic
Density of states at the Fermi level = 16.2 states/eV/cell

Lattice parameters (Å, degrees): 7.9503 7.9503 10.0636 90.00 90.00 143.17
With the nearest neighbours (Å) after each atom.
Positions (direct):
Tb1 0.0000 0.0000 0.0000  4 Sm 3.55, 6 Dy 3.56-3.57, 2 Ho 3.56
Tb2 0.0000 0.0000 0.5000  4 Sm 3.55, 6 Dy 3.56-3.57, 2 Ho 3.56
Sm1 0.5002 0.4998 0.2500  4 Tb 3.55, 2 Ho 3.56, 6 Dy 3.56-3.57
Sm2 0.4998 0.5002 0.7500  4 Tb 3.55, 2 Ho 3.56, 6 Dy 3.56-3.57
Dy1 0.1676 0.8324 0.7500  2 Ho 3.54, 6 Dy 3.54-3.55, 2 Sm 3.57, 2 Tb 3.57
Dy2 0.3328 0.6672 0.0000  5 Dy 3.54-3.55, 3 Ho 3.54-3.56, 2 Tb 3.56, 2 Sm 3.56
Dy3 0.3328 0.6672 0.5000  5 Dy 3.54-3.55, 3 Ho 3.54-3.56, 2 Tb 3.56, 2 Sm 3.56
Dy4 0.6672 0.3328 0.0000  5 Dy 3.54-3.55, 3 Ho 3.54-3.56, 2 Tb 3.56, 2 Sm 3.56
Dy5 0.6672 0.3328 0.5000  5 Dy 3.54-3.55, 3 Ho 3.54-3.56, 2 Tb 3.56, 2 Sm 3.56
Dy6 0.8324 0.1676 0.2500  2 Ho 3.54, 6 Dy 3.54-3.55, 2 Sm 3.57, 2 Tb 3.57
Ho1 0.1674 0.8326 0.2500  8 Dy 3.54-3.56, 2 Sm 3.56, 2 Tb 3.56
Ho2 0.8326 0.1674 0.7500  8 Dy 3.54-3.56, 2 Sm 3.56, 2 Tb 3.56



Mn2Pt8Rh | PBE | relaxed

Values from the calculation:
ΔE_f = -0.1285 eV/atom
Symmetry = Immm
Crystal system = orthorhombic
Density of states at the Fermi level = 13.7 states/eV/cell

Lattice parameters (Å, degrees): 7.2383 7.2383 7.2383 148.19 118.96 70.49
With the nearest neighbours (Å) after each atom.
Positions (direct):
Mn1 0.1809 0.1809 0.0000  10 Pt 2.62-2.75
Mn2 0.8191 0.8191 0.0000  10 Pt 2.62-2.75
Pt1 0.0738 0.3402 0.7335  3 Mn 2.64-2.72, 1 Rh 2.72, 7 Pt 2.75-2.92
Pt2 0.2049 0.0000 0.2049  2 Mn 2.62, 6 Pt 2.75-2.87
Pt3 0.3414 0.8414 0.5000  2 Rh 2.73, 2 Mn 2.75, 8 Pt 2.75-2.87
Pt4 0.3933 0.6598 0.7335  3 Mn 2.64-2.72, 1 Rh 2.72, 7 Pt 2.75-2.92
Pt5 0.6067 0.3402 0.2665  3 Mn 2.64-2.72, 1 Rh 2.72, 7 Pt 2.75-2.92
Pt6 0.6586 0.1586 0.5000  2 Rh 2.73, 2 Mn 2.75, 8 Pt 2.75-2.87
Pt7 0.7951 0.0000 0.7951  2 Mn 2.62, 6 Pt 2.75-2.87
Pt8 0.9262 0.6598 0.2665  3 Mn 2.64-2.72, 1 Rh 2.72, 7 Pt 2.75-2.92
Rh1 0.5000 0.5000 0.0000  12 Pt 2.72-2.94



Cd2WBr | PBE | relaxed

Values from the calculation:
Symmetry = Cmm2
Polymorph energy (0 for the lowest one) = 0.042 eV/atom
Crystal system = orthorhombic
Density of states at the Fermi level = 2.1 states/eV/cell
Energy relative to the elements, uncorrected = 499.1 meV per atom

Lattice parameters (Å, degrees): 3.0805 3.0805 11.2299 90.00 90.00 121.25
With the nearest neighbours (Å) after each atom.
Positions (direct):
Cd1 0.0000 0.0000 0.0000  8 Cd 3.02-3.18
Cd2 0.5000 0.5000 0.2495  2 W 2.92, 8 Cd 3.02-3.18
W1 0.0000 0.0000 0.4716  2 Br 2.58
Br1 0.5000 0.5000 0.6577  2 W 2.58



SmCdPb | PBE | relaxed

Values from the calculation:
ΔE_f = -0.3327 eV/atom
Symmetry = P3m1
Crystal system = trigonal
Density of states at the Fermi level = 1.3 states/eV/cell

Lattice parameters (Å, degrees): 5.0207 5.0207 3.7958 90.00 90.00 120.00
With the nearest neighbours (Å) after each atom.
Positions (direct):
Sm1 0.0000 0.0000 0.0000  3 Cd 3.25, 3 Pb 3.28
Cd1 0.3333 0.6667 0.6112  3 Pb 3.00, 3 Sm 3.25
Pb1 0.6667 0.3333 0.4046  3 Cd 3.00, 3 Sm 3.28



LiY2Mo | PBE | relaxed

Values from the calculation:
ΔE_f = 0.4789 eV/atom
Symmetry = Pmm2
Polymorph energy (0 for the lowest one) = 0.249 eV/atom
Crystal system = orthorhombic
Density of states at the Fermi level = 4.6 states/eV/cell

Lattice parameters (Å, degrees): 3.1153 4.7941 6.2354 90.00 90.00 90.00
With the nearest neighbours (Å) after each atom.
Positions (direct):
Li1 0.0000 0.0000 0.0000  1 Y 2.78
Y1 0.0000 0.0000 0.4453  1 Li 2.78, 4 Mo 3.05
Y2 0.5000 0.5000 0.7772  2 Mo 3.11-3.12, 2 Y 3.12, 4 Li 3.18
Mo1 0.5000 0.5000 0.2762  6 Y 3.05-3.12, 2 Mo 3.12, 4 Li 3.34